(1)
Computed, not measured: a relaxed LiErLuSn crystal at the PBE level of DFT.

Values from the calculation:
Crystal system: cubic
ΔE_f: -0.360 eV/atom
Total DFT energy (no corrections): -4.11 eV per atom

Unit cell a=5.146 b=5.146 c=5.146 alpha=60.00 beta=60.00 gamma=60.00
Sites, in units of the cell vectors:
Li 0.000 0.000 0.000
Er 0.250 0.250 0.250
Lu 0.750 0.750 0.750
Sn 0.500 0.500 0.500


(2)
Computed, not measured: a relaxed LiTbErLu crystal at the PBE level of DFT.

Values from the calculation:
Crystal system: cubic
ΔE_f: 0.162 eV/atom
Total DFT energy (no corrections): -3.74 eV per atom

Unit cell a=5.412 b=5.412 c=5.412 alpha=60.00 beta=60.00 gamma=60.00
Sites, in units of the cell vectors:
Li 0.000 0.000 0.000
Tb 0.750 0.750 0.750
Er 0.250 0.250 0.250
Lu 0.500 0.500 0.500


(3)
Computed, not measured: a relaxed LiErLuTc crystal at the PBE level of DFT.

Values from the calculation:
Crystal system: cubic
ΔE_f: -0.075 eV/atom
Total DFT energy (no corrections): -5.42 eV per atom

Unit cell a=4.865 b=4.865 c=4.865 alpha=60.00 beta=60.00 gamma=60.00
Sites, in units of the cell vectors:
Li 0.000 0.000 0.000
Er 0.250 0.250 0.250
Lu 0.750 0.750 0.750
Tc 0.500 0.500 0.500


(4)
Computed, not measured: a relaxed LiErLuZn crystal at the PBE level of DFT.

Values from the calculation:
Crystal system: cubic
ΔE_f: -0.115 eV/atom
Total DFT energy (no corrections): -3.18 eV per atom

Unit cell a=5.030 b=5.030 c=5.030 alpha=60.00 beta=60.00 gamma=60.00
Sites, in units of the cell vectors:
Li 0.000 0.000 0.000
Er 0.750 0.750 0.750
Lu 0.250 0.250 0.250
Zn 0.500 0.500 0.500


(5)
Computed, not measured: a relaxed Li2ErMg10 crystal at the PBE level of DFT.

Values from the calculation:
Crystal system: orthorhombic
ΔE_f: -0.015 eV/atom
Total DFT energy (no corrections): -1.89 eV per atom

Unit cell a=10.245 b=7.774 c=7.774 alpha=82.44 beta=48.78 gamma=48.78
Sites, in units of the cell vectors:
Li 0.000 0.500 0.000
Li 0.500 0.000 0.500
Er 0.000 0.000 0.000
Mg 0.000 0.000 0.500
Mg 0.008 0.350 0.650
Mg 0.289 0.495 0.505
Mg 0.350 0.008 0.992
Mg 0.495 0.289 0.711
Mg 0.500 0.500 0.000
Mg 0.505 0.711 0.289
Mg 0.650 0.992 0.008
Mg 0.711 0.505 0.495
Mg 0.992 0.650 0.350


(6)
Computed, not measured: a relaxed LiErMg2 crystal at the PBE level of DFT.

Values from the calculation:
Crystal system: trigonal
Offset from the most stable computed form: 73 meV per atom
ΔE_f: 0.030 eV/atom
Total DFT energy (no corrections): -2.39 eV per atom

Unit cell a=10.791 b=10.791 c=10.791 alpha=17.53 beta=17.53 gamma=17.53
Sites, in units of the cell vectors:
Li 0.000 0.000 0.000
Er 0.500 0.500 0.500
Mg 0.255 0.255 0.255
Mg 0.745 0.745 0.745


Q: Number 4 is which compound?
A: LiErLuZn


Q: Among the records above, which one has the lowest ΔE_f?
A: LiErLuSn


Q: What is the total DFT energy (no corrections) in the third record?
A: -5.42 eV per atom


Q: Which of these has the highest total DFT energy (no corrections)?
A: Li2ErMg10